The following is a GGA-PBE calculation of Mn2PtCl after structural relaxation, from Alexandria.

a b c (Å): 4.0699 2.7550 6.1377
angles (deg): 90.00 91.12 90.00
Closest atoms and distances in Å follow each position.
Space group P2/m (No. 10)
One atom of each set of equivalent atoms:
Mn: 0.0111 0.0000 0.1590 x2  1 Mn 1.95
Pt: 0.5000 0.5000 0.0000 x1  8 Mn 2.62-2.66, 2 Pt 2.76
Cl: 0.0000 0.5000 0.5000 x1  4 Mn 2.51, 2 Cl 2.76

**Polymorph energy (0 for the lowest one)**: 460.7 meV per atom
**Formation energy without anion corrections**: 294 meV/atom
**Size of the total moment**: 0.03 μB/f.u.
**Volume**: 17.202 Å³/atom